[1]
ThH2I6: optimized geometry, PBE-GGA.

Geometry as extended XYZ:
```
18
Lattice="7.964 -6.906 0.000 7.964 6.906 0.000 -0.410 0.000 7.592" Properties=species:S:1:pos:R:3 pbc="T T T"
Th 7.656 5.472 5.694
Th 7.861 -5.472 1.898
H 5.617 0.321 3.934
H 5.822 -0.321 0.138
H 9.695 0.321 7.455
H 9.900 -0.321 3.658
I 1.501 0.978 4.537
I 5.680 3.538 6.718
I 1.706 -0.978 0.741
I 5.682 1.239 2.570
I 9.633 3.538 4.670
I 5.477 -1.239 6.366
I 10.040 1.239 1.227
I 5.885 -3.538 2.922
I 9.835 -1.239 5.023
I 13.811 0.978 6.852
I 9.838 -3.538 0.874
I 14.016 -0.978 3.056
```

Summary:
symmetry = No. 15
total moment = 0.00 μB/atom
E_tot = -3.255 eV per atom
volume = 835.1 Å³/cell

---

[2]
Tl2Zn: optimized geometry, PBE-GGA.

Geometry as extended XYZ:
```
3
Lattice="4.900 0.000 0.000 0.000 4.900 0.000 0.000 0.000 3.551" Properties=species:S:1:pos:R:3 pbc="T T T"
Tl 0.000 2.450 0.000
Tl 2.450 0.000 0.000
Zn 0.000 0.000 1.776
```

Summary:
symmetry = No. 123
E above lowest polymorph = 108.9 meV/atom
energy relative to the elements = 0.1853 eV per atom
total moment = 0.00 μB/atom
volume = 85.2 Å³/cell

---

[3]
Ho2Er2Se3: optimized geometry, PBE-GGA.

Geometry as extended XYZ:
```
7
Lattice="6.648 -1.965 0.000 6.648 1.965 0.000 -1.271 0.000 6.760" Properties=species:S:1:pos:R:3 pbc="T T T"
Ho 1.189 0.000 2.425
Ho 10.836 0.000 4.335
Er 4.959 0.000 0.762
Er 7.066 0.000 5.997
Se 2.248 0.000 5.056
Se 6.013 0.000 3.380
Se 9.778 0.000 1.703
```

Summary:
symmetry = No. 12
formation energy without anion corrections = -1.4409 eV/atom
total moment = 0.00 μB/atom
volume = 176.6 Å³/cell

---

[4]
AlGeAu: optimized geometry, PBE-GGA.

Geometry as extended XYZ:
```
6
Lattice="4.071 0.000 0.000 0.000 4.071 0.000 0.000 0.000 6.747" Properties=species:S:1:pos:R:3 pbc="T T T"
Al 1.018 3.054 0.000
Al 3.054 1.018 0.000
Ge 1.018 1.018 2.434
Ge 3.054 3.054 4.313
Au 1.018 1.018 5.098
Au 3.054 3.054 1.650
```

Summary:
symmetry = No. 129
energy relative to the elements = -0.0626 eV per atom
total moment = 0.00 μB/atom
volume = 111.8 Å³/cell

---

[5]
Nd4RuSBr2: optimized geometry, PBE-GGA.

Geometry as extended XYZ:
```
8
Lattice="7.421 0.000 0.000 0.000 4.037 0.000 -2.219 0.000 7.545" Properties=species:S:1:pos:R:3 pbc="T T T"
Nd 1.190 0.000 1.504
Nd 0.155 2.018 6.058
Nd 5.047 2.018 1.488
Nd 4.012 0.000 6.041
Ru 0.000 2.018 0.000
S 3.711 0.000 0.000
Br -1.110 0.000 3.773
Br 2.601 2.018 3.773
```

Summary:
symmetry = No. 10
formation energy without anion corrections = -1.1862 eV/atom
total moment = 0.00 μB/atom
volume = 226.0 Å³/cell

---

[6]
Si2PBr: optimized geometry, PBE-GGA.

Geometry as extended XYZ:
```
4
Lattice="3.080 0.000 0.000 0.000 4.822 0.000 0.000 0.000 4.841" Properties=species:S:1:pos:R:3 pbc="T T T"
Si 0.000 0.000 0.000
Si 1.540 0.000 2.421
P 0.000 2.411 2.421
Br 1.540 2.411 0.000
```

Summary:
symmetry = No. 47
formation energy without anion corrections = 0.8266 eV/atom
E above lowest polymorph = 758.4 meV/atom
total moment = 0.00 μB/atom
volume = 71.9 Å³/cell

---

[7]
Sr2BiPb2: optimized geometry, PBE-GGA.

Geometry as extended XYZ:
```
10
Lattice="8.515 0.000 0.000 0.000 8.515 0.000 0.000 0.000 4.905" Properties=species:S:1:pos:R:3 pbc="T T T"
Sr 1.486 2.772 0.000
Sr 2.772 7.030 0.000
Sr 5.743 1.486 0.000
Sr 7.030 5.743 0.000
Bi 0.000 0.000 2.452
Bi 4.258 4.258 2.452
Pb 1.086 5.343 2.452
Pb 3.172 1.086 2.452
Pb 5.343 7.429 2.452
Pb 7.429 3.172 2.452
```

Summary:
symmetry = No. 127
E above lowest polymorph = 0.0 meV/atom
energy relative to the elements = -0.5261 eV per atom
total moment = 0.00 μB/atom
volume = 355.6 Å³/cell

---

[8]
RbUGa2Br8: optimized geometry, PBE-GGA.

Geometry as extended XYZ:
```
12
Lattice="7.248 0.000 0.000 -0.088 7.376 0.000 -0.052 -0.019 9.705" Properties=species:S:1:pos:R:3 pbc="T T T"
Rb 0.000 0.000 0.000
U -0.026 -0.009 4.853
Ga 3.572 3.684 2.038
Ga 3.536 3.672 7.667
Br 1.388 5.157 4.840
Br 1.589 1.072 2.948
Br 1.583 1.045 6.778
Br 1.886 4.598 9.702
Br 5.222 2.759 0.004
Br 5.525 6.312 2.928
Br 5.519 6.285 6.757
Br 5.720 2.200 4.865
```

Summary:
symmetry = No. 2
formation energy without anion corrections = -1.0911 eV/atom
total moment = 0.08 μB/atom
volume = 518.9 Å³/cell

---

Question: Look up the volume of the fifth one.
Answer: 226.0 Å³/cell